[1]
This record from the Alexandria database describes an optimized crystal structure of V2FeRu. The functional is PBE.

a b c (Å): 2.9668 4.1805 4.1805
angles (deg): 90.00 90.00 90.00
Fractional coordinates of all 4 atoms:
1 V 0.0000 0.0000 0.5000
2 Fe 0.5000 0.0000 0.0000
3 V 0.0000 0.5000 0.0000
4 Ru 0.5000 0.5000 0.5000

Calculated values
Its energy relative to the lowest polymorph listed for this composition is 22 meV per atom. The calculation puts the size of the total moment at 1.49 Bohr magnetons per cell. The symmetry is P4/mmm, No. 123. The formation energy comes out at -0.18 eV per atom.

---

[2]
This record from the Alexandria database describes an optimized crystal structure of V3Fe2Ru. The functional is PBE.

a b c (Å): 2.9394 2.9394 8.7082
angles (deg): 90.00 90.00 90.00
Fractional coordinates of all 6 atoms:
1 V 0.0000 0.0000 0.0000
2 Fe 0.5000 0.5000 0.1643
3 V 0.0000 0.0000 0.3200
4 Fe 0.5000 0.5000 0.8357
5 V 0.0000 0.0000 0.6800
6 Ru 0.5000 0.5000 0.5000

Calculated values
Its energy relative to the lowest polymorph listed for this composition is 0 meV per atom. The calculation puts the size of the total moment at 1.93 Bohr magnetons per cell. The symmetry is P4/mmm, No. 123. The formation energy comes out at -0.17 eV per atom.

---

[3]
This record from the Alexandria database describes an optimized crystal structure of V4Fe3Ru2. The functional is PBE.

a b c (Å): 4.1505 4.1500 7.7062
angles (deg): 90.02 90.00 60.00
Fractional coordinates of all 9 atoms:
1 Ru 0.6668 0.6665 0.2193
2 Fe 0.3334 0.3332 0.4393
3 Fe 0.6666 0.6668 0.5607
4 V 0.6666 0.6668 0.8904
5 V 0.0000 0.9999 0.3385
6 V 0.0000 0.0001 0.6615
7 Fe 0.0000 0.0000 0.0000
8 Ru 0.3332 0.3335 0.7807
9 V 0.3334 0.3332 0.1096

Calculated values
The calculation puts the size of the total moment at 4.73 Bohr magnetons per cell. The symmetry is P-3m1, No. 164. The formation energy comes out at -0.14 eV per atom.

---

[4]
This record from the Alexandria database describes an optimized crystal structure of VFeRu2. The functional is PBE.

a b c (Å): 3.0831 4.1562 4.1562
angles (deg): 90.00 90.00 90.00
Fractional coordinates of all 4 atoms:
1 Fe 0.5000 0.5000 0.5000
2 Ru 0.0000 0.0000 0.5000
3 Ru 0.0000 0.5000 0.0000
4 V 0.5000 0.0000 0.0000

Calculated values
Its energy relative to the lowest polymorph listed for this composition is 34 meV per atom. The calculation puts the size of the total moment at 3.10 Bohr magnetons per cell. The symmetry is P4/mmm, No. 123. The formation energy comes out at -0.07 eV per atom.

---

[5]
This record from the Alexandria database describes an optimized crystal structure of VFeRu2. The functional is PBE.

a b c (Å): 4.2399 4.2399 4.2399
angles (deg): 60.00 60.00 60.00
Fractional coordinates of all 4 atoms:
1 V 0.0000 0.0000 0.0000
2 Fe 0.5000 0.5000 0.5000
3 Ru 0.7500 0.7500 0.7500
4 Ru 0.2500 0.2500 0.2500

Calculated values
Its energy relative to the lowest polymorph listed for this composition is 0 meV per atom. The calculation puts the size of the total moment at 4.40 Bohr magnetons per cell. The symmetry is Fm-3m, No. 225. The formation energy comes out at -0.11 eV per atom.

---

[6]
This record from the Alexandria database describes an optimized crystal structure of VFe3Ru. The functional is PBE.

a b c (Å): 4.4747 4.4747 4.4747
angles (deg): 90.00 90.00 90.00
Fractional coordinates of all 5 atoms:
1 Fe 0.5000 0.0000 0.0000
2 Ru 0.0000 0.0000 0.0000
3 Fe 0.0000 0.0000 0.5000
4 V 0.5000 0.5000 0.5000
5 Fe 0.0000 0.5000 0.0000

Calculated values
Its energy relative to the lowest polymorph listed for this composition is 382 meV per atom. The calculation puts the size of the total moment at 10.41 Bohr magnetons per cell. The symmetry is Pm-3m, No. 221. The formation energy comes out at 1.58 eV per atom.

---

[7]
This record from the Alexandria database describes an optimized crystal structure of V3FeRu3. The functional is PBE.

a b c (Å): 5.9375 5.9375 5.4976
angles (deg): 90.00 90.00 92.57
Fractional coordinates of all 14 atoms:
1 Ru 0.0000 0.0000 0.7676
2 V 0.3464 0.6536 0.0000
3 V 0.2256 0.7744 0.5000
4 V 0.6771 0.6771 0.5000
5 Fe 0.7317 0.7317 0.0000
6 V 0.3229 0.3229 0.5000
7 Ru 0.5000 0.0000 0.7558
8 Ru 0.0000 0.5000 0.2442
9 V 0.6536 0.3464 0.0000
10 Ru 0.0000 0.0000 0.2324
11 Ru 0.5000 0.0000 0.2442
12 V 0.7744 0.2256 0.5000
13 Fe 0.2683 0.2683 0.0000
14 Ru 0.0000 0.5000 0.7558

Calculated values
The calculation puts the size of the total moment at 0.03 Bohr magnetons per cell. The symmetry is Cmmm, No. 65. The formation energy comes out at 0.00 eV per atom.

---

[8]
This record from the Alexandria database describes an optimized crystal structure of V3Fe2Ru. The functional is PBE.

a b c (Å): 4.1466 6.5435 5.8574
angles (deg): 90.00 90.00 71.53
Fractional coordinates of all 12 atoms:
1 V 0.5000 0.0000 0.7422
2 V 0.1628 0.6744 0.7396
3 Fe 0.3305 0.3390 0.5000
4 V 0.8372 0.3256 0.2604
5 Ru 0.6659 0.6682 0.0000
6 Fe 0.6695 0.6610 0.5000
7 V 0.1628 0.6744 0.2604
8 Ru 0.3341 0.3318 0.0000
9 V 0.8372 0.3256 0.7396
10 V 0.5000 0.0000 0.2578
11 Fe 0.0000 0.0000 0.0000
12 Fe 0.0000 0.0000 0.5000

Calculated values
Its energy relative to the lowest polymorph listed for this composition is 3 meV per atom. The calculation puts the size of the total moment at 4.34 Bohr magnetons per cell. The symmetry is Cmmm, No. 65. The formation energy comes out at -0.17 eV per atom.